Record 1
! FeCuRu2, relaxed, DFT PBE-GGA; values from VASP
! ΔE_f   219 meV per atom
! Fermi-level density of states   4.9 states/eV/cell
! SG   C2/m
! Spin magnetization   2.23 μB per formula unit
! E_tot   -7.559 eV/atom
&SYSTEM
  ibrav = 0, nat = 4, ntyp = 3
/
ATOMIC_SPECIES
Ru 101.07 Ru.upf
Fe 55.84 Fe.upf
Cu 63.55 Cu.upf
ATOMIC_POSITIONS crystal
Ru 0.993 0.993 0.006
Fe 0.250 0.250 0.250
Ru 0.507 0.507 0.494
Cu 0.750 0.750 0.750
CELL_PARAMETERS angstrom
4.514 -0.003 -0.002
3.736 2.533 -0.002
0.812 0.249 4.572

=====

Record 2
! FeCu2Ru, relaxed, DFT PBE-GGA; values from VASP
! ΔE_f   223 meV per atom
! Fermi-level density of states   4.0 states/eV/cell
! Excess energy over the best structure of this formula in the dataset   1.634 kcal/mol of atoms
! SG   Cmm2
! Spin magnetization   3.05 μB per formula unit
! E_tot   -6.260 eV/atom
&SYSTEM
  ibrav = 0, nat = 4, ntyp = 3
/
ATOMIC_SPECIES
Cu 63.55 Cu.upf
Ru 101.07 Ru.upf
Fe 55.84 Fe.upf
ATOMIC_POSITIONS crystal
Cu 0.500 0.500 0.251
Cu 0.000 0.000 0.008
Ru 0.500 0.500 0.745
Fe 0.000 0.000 0.496
CELL_PARAMETERS angstrom
-1.056 0.516 -2.275
0.925 -2.379 0.196
-7.563 -2.702 2.898

=====

Record 3
! FeCu2Ru, relaxed, DFT PBE-GGA; values from VASP
! ΔE_f   512 meV per atom
! Fermi-level density of states   5.7 states/eV/cell
! Excess energy over the best structure of this formula in the dataset   8.315 kcal/mol of atoms
! SG   Fm-3m
! Spin magnetization   0.00 μB per formula unit
! E_tot   -5.970 eV/atom
&SYSTEM
  ibrav = 0, nat = 4, ntyp = 3
/
ATOMIC_SPECIES
Fe 55.84 Fe.upf
Ru 101.07 Ru.upf
Cu 63.55 Cu.upf
ATOMIC_POSITIONS crystal
Fe 0.000 0.000 0.000
Ru 0.500 0.500 0.500
Cu 0.250 0.250 0.250
Cu 0.750 0.750 0.750
CELL_PARAMETERS angstrom
0.000 2.899 2.899
2.899 0.000 2.899
2.899 2.899 0.000

=====

Record 4
! FeCu2Ru, relaxed, DFT PBE-GGA; values from VASP
! ΔE_f   250 meV per atom
! Fermi-level density of states   3.5 states/eV/cell
! Excess energy over the best structure of this formula in the dataset   2.266 kcal/mol of atoms
! SG   P2/m
! Spin magnetization   3.12 μB per formula unit
! E_tot   -6.233 eV/atom
&SYSTEM
  ibrav = 0, nat = 4, ntyp = 3
/
ATOMIC_SPECIES
Fe 55.84 Fe.upf
Cu 63.55 Cu.upf
Ru 101.07 Ru.upf
ATOMIC_POSITIONS crystal
Fe 0.500 0.250 0.250
Cu 0.000 0.444 0.493
Cu 0.000 0.056 0.007
Ru 0.500 0.750 0.750
CELL_PARAMETERS angstrom
4.271 0.000 0.000
0.000 2.494 -0.028
0.000 0.879 4.750

=====

Record 5
! FeCu2Ru2, relaxed, DFT PBE-GGA; values from VASP
! ΔE_f   579 meV per atom
! Fermi-level density of states   9.8 states/eV/cell
! Excess energy over the best structure of this formula in the dataset   0.266 kcal/mol of atoms
! SG   P4/mbm
! Spin magnetization   3.26 μB per formula unit
! E_tot   -6.462 eV/atom
&SYSTEM
  ibrav = 0, nat = 10, ntyp = 3
/
ATOMIC_SPECIES
Fe 55.84 Fe.upf
Ru 101.07 Ru.upf
Cu 63.55 Cu.upf
ATOMIC_POSITIONS crystal
Fe 0.500 0.500 0.000
Ru 0.625 0.125 0.000
Cu 0.672 0.828 0.500
Ru 0.125 0.375 0.000
Cu 0.328 0.172 0.500
Fe 0.000 0.000 0.000
Ru 0.875 0.625 0.000
Cu 0.172 0.672 0.500
Ru 0.375 0.875 0.000
Cu 0.828 0.328 0.500
CELL_PARAMETERS angstrom
-2.331 2.415 -6.138
-3.735 -5.849 -0.883
-2.209 1.212 1.316

=====

Record 6
! FeCu2Ru, relaxed, DFT PBE-GGA; values from VASP
! ΔE_f   676 meV per atom
! Fermi-level density of states   6.2 states/eV/cell
! Excess energy over the best structure of this formula in the dataset   12.078 kcal/mol of atoms
! SG   I-42d
! Spin magnetization   4.35 μB per formula unit
! E_tot   -5.807 eV/atom
&SYSTEM
  ibrav = 0, nat = 8, ntyp = 3
/
ATOMIC_SPECIES
Ru 101.07 Ru.upf
Cu 63.55 Cu.upf
Fe 55.84 Fe.upf
ATOMIC_POSITIONS crystal
Ru 0.000 0.000 0.000
Cu 0.375 0.387 0.750
Fe 0.250 0.750 0.500
Cu 0.613 0.125 0.250
Cu 0.137 0.625 0.250
Fe 0.500 0.500 0.000
Cu 0.875 0.863 0.750
Ru 0.750 0.250 0.500
CELL_PARAMETERS angstrom
-0.874 -6.285 2.148
3.451 -2.281 -5.270
3.379 -4.129 -0.258

=====

Record 7
! FeCuRu2, relaxed, DFT PBE-GGA; values from VASP
! ΔE_f   187 meV per atom
! Fermi-level density of states   3.3 states/eV/cell
! SG   R-3m
! Spin magnetization   1.77 μB per formula unit
! E_tot   -7.591 eV/atom
&SYSTEM
  ibrav = 0, nat = 4, ntyp = 3
/
ATOMIC_SPECIES
Fe 55.84 Fe.upf
Ru 101.07 Ru.upf
Cu 63.55 Cu.upf
ATOMIC_POSITIONS crystal
Fe 0.750 0.750 0.750
Ru 0.497 0.497 0.497
Ru 0.003 0.003 0.003
Cu 0.250 0.250 0.250
CELL_PARAMETERS angstrom
8.694 -0.002 -0.001
8.290 2.618 -0.001
8.290 1.277 2.286

=====

Record 8
! FeCuRu, relaxed, DFT PBE-GGA; values from VASP
! ΔE_f   218 meV per atom
! Fermi-level density of states   3.4 states/eV/cell
! Excess energy over the best structure of this formula in the dataset   0.707 kcal/mol of atoms
! SG   Imm2
! Spin magnetization   2.06 μB per formula unit
! E_tot   -7.060 eV/atom
&SYSTEM
  ibrav = 0, nat = 3, ntyp = 3
/
ATOMIC_SPECIES
Cu 63.55 Cu.upf
Fe 55.84 Fe.upf
Ru 101.07 Ru.upf
ATOMIC_POSITIONS crystal
Cu 0.999 0.999 0.000
Fe 0.332 0.332 0.000
Ru 0.669 0.669 0.000
CELL_PARAMETERS angstrom
-3.245 -1.442 2.796
-0.649 -4.429 0.627
2.901 3.456 0.266